1.
Computed, not measured: Sr2AsAu after structural relaxation at the PBE-GGA level of DFT.

Cell lengths 6.679, 6.679, 9.120 Å; angles 68.52, 68.52, 90.00 degrees
Fractional coordinates of all 8 atoms:
Sr 0.875 0.849 0.750
Sr 0.375 0.401 0.750
Sr 0.151 0.625 0.250
Sr 0.599 0.125 0.250
As 0.500 0.500 0.000
As 0.250 0.750 0.500
Au 0.000 0.000 0.000
Au 0.750 0.250 0.500

Summary:
The space group is I-42d, No. 122. The calculation puts the density of states at the Fermi level at 0.00 states/eV/f.u.

***

2.
Computed, not measured: SrAsAu after structural relaxation at the PBE-GGA level of DFT.

Cell lengths 5.025, 5.023, 6.595 Å; angles 90.00, 90.00, 75.99 degrees
Fractional coordinates of all 6 atoms:
Au 0.327 0.951 0.155
Au 0.328 0.951 0.655
Sr 0.676 0.300 0.405
Sr 0.979 0.602 0.905
As 0.570 0.193 0.905
As 0.086 0.709 0.405

Summary:
The space group is Cmcm, No. 63. The calculation puts the density of states at the Fermi level at 0.00 states/eV/f.u.

***

3.
Computed, not measured: SrAsAu after structural relaxation at the PBE-GGA level of DFT.

Cell lengths 4.525, 4.525, 12.940 Å; angles 90.00, 90.00, 120.00 degrees
Fractional coordinates of all 9 atoms:
Au 0.828 0.656 0.165
Au 0.828 0.656 0.835
Au 0.161 0.323 0.500
As 0.828 0.656 0.500
As 0.161 0.323 0.171
As 0.161 0.323 0.829
Sr 0.495 0.989 0.000
Sr 0.495 0.989 0.334
Sr 0.495 0.989 0.666

Summary:
The space group is P-6m2, No. 187. The calculation puts the density of states at the Fermi level at 0.08 states/eV/f.u.

***

4.
Computed, not measured: SrAs2Au after structural relaxation at the PBE-GGA level of DFT.

Cell lengths 5.656, 5.656, 5.656 Å; angles 134.39, 134.39, 66.47 degrees
Fractional coordinates of all 4 atoms:
Sr 0.750 0.250 0.500
As 0.000 0.000 0.000
As 0.250 0.750 0.500
Au 0.500 0.500 0.000

Summary:
The space group is I-4m2, No. 119. The calculation puts the density of states at the Fermi level at 2.22 states/eV/f.u.

***

5.
Computed, not measured: SrAs2Au after structural relaxation at the PBE-GGA level of DFT.

Cell lengths 4.729, 4.578, 4.916 Å; angles 87.74, 90.00, 90.00 degrees
Fractional coordinates of all 4 atoms:
Au 0.000 0.298 0.522
As 0.000 0.137 0.013
As 0.500 0.303 0.230
Sr 0.500 0.763 0.735

Summary:
The space group is Pm, No. 6. The calculation puts the density of states at the Fermi level at 0.85 states/eV/f.u.

***

6.
Computed, not measured: SrAsAu after structural relaxation at the PBE-GGA level of DFT.

Cell lengths 4.530, 4.530, 8.587 Å; angles 90.00, 90.00, 120.00 degrees
Fractional coordinates of all 6 atoms:
As 0.667 0.333 0.250
As 0.333 0.667 0.750
Au 0.333 0.667 0.250
Au 0.667 0.333 0.750
Sr 0.000 0.000 0.000
Sr 0.000 0.000 0.500

Summary:
The space group is P6_3/mmc, No. 194. The calculation puts the density of states at the Fermi level at 0.00 states/eV/f.u.

***

7.
Computed, not measured: SrAsAu4 after structural relaxation at the PBE-GGA level of DFT.

Cell lengths 5.671, 5.671, 5.671 Å; angles 60.00, 60.00, 60.00 degrees
Fractional coordinates of all 6 atoms:
Au 0.375 0.375 0.375
Au 0.875 0.375 0.375
Au 0.375 0.875 0.375
Au 0.375 0.375 0.875
As 0.000 0.000 0.000
Sr 0.750 0.750 0.750

Summary:
The space group is F-43m, No. 216. The calculation puts the density of states at the Fermi level at 2.83 states/eV/f.u.

***

8.
Computed, not measured: SrAs2Au after structural relaxation at the PBE-GGA level of DFT.

Cell lengths 5.720, 5.720, 5.720 Å; angles 51.14, 51.14, 51.14 degrees
Fractional coordinates of all 4 atoms:
Sr 0.760 0.760 0.760
As 0.012 0.012 0.012
As 0.181 0.181 0.181
Au 0.547 0.547 0.547

Summary:
The space group is R3m, No. 160. The calculation puts the density of states at the Fermi level at 2.90 states/eV/f.u.

***

9.
Computed, not measured: SrAsAu after structural relaxation at the PBE-GGA level of DFT.

Cell lengths 5.861, 5.861, 5.861 Å; angles 141.68, 141.68, 55.31 degrees
Fractional coordinates of all 3 atoms:
Au 0.370 0.370 0.000
As 0.960 0.960 0.000
Sr 0.669 0.669 0.000

Summary:
The space group is I4mm, No. 107. The calculation puts the density of states at the Fermi level at 3.19 states/eV/f.u.

***

10.
Computed, not measured: Sr3As2Au4 after structural relaxation at the PBE-GGA level of DFT.

Cell lengths 4.584, 6.226, 9.101 Å; angles 105.70, 90.00, 111.60 degrees
Fractional coordinates of all 9 atoms:
Sr 0.000 0.000 0.000
Sr 0.334 0.667 0.338
Sr 0.666 0.333 0.662
Au 0.946 0.892 0.619
Au 0.720 0.439 0.065
Au 0.054 0.108 0.381
Au 0.280 0.561 0.935
As 0.607 0.214 0.279
As 0.393 0.786 0.721

Summary:
The space group is C2/m, No. 12. The calculation puts the density of states at the Fermi level at 2.66 states/eV/f.u.

***

11.
Computed, not measured: Sr3As3Au2 after structural relaxation at the PBE-GGA level of DFT.

Cell lengths 4.467, 6.235, 16.559 Å; angles 90.00, 90.00, 110.99 degrees
Fractional coordinates of all 16 atoms:
Sr 0.605 0.211 0.250
Sr 0.117 0.234 0.910
Sr 0.883 0.766 0.090
Sr 0.883 0.766 0.410
Sr 0.117 0.234 0.590
Sr 0.395 0.789 0.750
Au 0.819 0.637 0.878
Au 0.819 0.637 0.622
Au 0.181 0.363 0.378
Au 0.181 0.363 0.122
As 0.679 0.358 0.750
As 0.397 0.794 0.940
As 0.397 0.794 0.560
As 0.603 0.206 0.440
As 0.603 0.206 0.060
As 0.321 0.642 0.250

Summary:
The space group is Cmcm, No. 63. The calculation puts the density of states at the Fermi level at 3.06 states/eV/f.u.

***

12.
Computed, not measured: SrAsAu after structural relaxation at the PBE-GGA level of DFT.

Cell lengths 6.233, 6.232, 4.700 Å; angles 112.15, 67.85, 94.34 degrees
Fractional coordinates of all 6 atoms:
Au 0.970 0.226 0.933
Au 0.160 0.035 0.243
Sr 0.565 0.130 0.588
Sr 0.065 0.631 0.588
As 0.491 0.705 0.912
As 0.638 0.556 0.264

Summary:
The space group is Imma, No. 74. The calculation puts the density of states at the Fermi level at 0.38 states/eV/f.u.

***

13.
Computed, not measured: SrAs2Au after structural relaxation at the PBE-GGA level of DFT.

Cell lengths 3.751, 3.751, 6.861 Å; angles 90.00, 90.00, 90.00 degrees
Fractional coordinates of all 4 atoms:
As 0.500 0.500 0.205
As 0.000 0.000 0.081
Sr 0.500 0.500 0.734
Au 0.000 0.000 0.481

Summary:
The space group is P4mm, No. 99. The calculation puts the density of states at the Fermi level at 1.72 states/eV/f.u.

***

14.
Computed, not measured: Sr2AsAu2 after structural relaxation at the PBE-GGA level of DFT.

Cell lengths 6.021, 6.021, 5.913 Å; angles 59.39, 59.39, 90.00 degrees
Fractional coordinates of all 5 atoms:
Sr 0.250 0.750 0.500
Sr 0.750 0.250 0.500
Au 0.338 0.338 0.324
Au 0.662 0.662 0.676
As 0.000 0.000 0.000

Summary:
The space group is I4/mmm, No. 139. The calculation puts the density of states at the Fermi level at 2.10 states/eV/f.u.

***

15.
Computed, not measured: SrAs2Au after structural relaxation at the PBE-GGA level of DFT.

Cell lengths 5.089, 5.089, 5.089 Å; angles 60.00, 60.00, 60.00 degrees
Fractional coordinates of all 4 atoms:
Sr 0.750 0.750 0.750
Au 0.500 0.500 0.500
As 0.000 0.000 0.000
As 0.250 0.250 0.250

Summary:
The space group is F-43m, No. 216. The calculation puts the density of states at the Fermi level at 2.51 states/eV/f.u.

***

16.
Computed, not measured: SrAs2Au after structural relaxation at the PBE-GGA level of DFT.

Cell lengths 4.866, 4.866, 9.784 Å; angles 75.60, 75.60, 90.00 degrees
Fractional coordinates of all 8 atoms:
Sr 0.500 0.500 0.000
Sr 0.250 0.750 0.500
Au 0.750 0.250 0.500
Au 0.000 0.000 0.000
As 0.875 0.007 0.750
As 0.375 0.243 0.750
As 0.993 0.625 0.250
As 0.757 0.125 0.250

Summary:
The space group is I-42d, No. 122. The calculation puts the density of states at the Fermi level at 0.91 states/eV/f.u.

***

17.
Computed, not measured: Sr2AsAu after structural relaxation at the PBE-GGA level of DFT.

Cell lengths 4.644, 4.644, 7.588 Å; angles 72.15, 72.15, 60.01 degrees
Fractional coordinates of all 4 atoms:
Au 0.250 0.250 0.250
Sr 0.010 0.010 0.971
Sr 0.490 0.490 0.529
As 0.750 0.750 0.750

Summary:
The space group is R-3m, No. 166. The calculation puts the density of states at the Fermi level at 0.20 states/eV/f.u.

***

18.
Computed, not measured: SrAs2Au after structural relaxation at the PBE-GGA level of DFT.

Cell lengths 5.305, 5.305, 5.305 Å; angles 131.76, 107.96, 91.47 degrees
Fractional coordinates of all 4 atoms:
Au 0.750 0.250 0.500
Sr 0.250 0.750 0.500
As 0.937 0.937 0.000
As 0.563 0.563 0.000

Summary:
The space group is Immm, No. 71. The calculation puts the density of states at the Fermi level at 2.17 states/eV/f.u.

***

19.
Computed, not measured: SrAsAu after structural relaxation at the PBE-GGA level of DFT.

Cell lengths 5.278, 5.278, 6.159 Å; angles 90.00, 90.00, 120.00 degrees
Fractional coordinates of all 6 atoms:
Sr 0.333 0.667 0.250
Sr 0.667 0.333 0.750
As 0.333 0.667 0.750
As 0.667 0.333 0.250
Au 0.000 0.000 0.500
Au 0.000 0.000 0.000

Summary:
The space group is P6_3/mmc, No. 194. The calculation puts the density of states at the Fermi level at 0.38 states/eV/f.u.

***

20.
Computed, not measured: Sr3AsAu after structural relaxation at the PBE-GGA level of DFT.

Cell lengths 5.900, 5.900, 5.900 Å; angles 90.00, 90.00, 90.00 degrees
Fractional coordinates of all 5 atoms:
Au 0.500 0.500 0.500
As 0.000 0.000 0.000
Sr 0.000 0.500 0.000
Sr 0.500 0.000 0.000
Sr 0.000 0.000 0.500

Summary:
The space group is Pm-3m, No. 221. The calculation puts the density of states at the Fermi level at 3.67 states/eV/f.u.

***

21.
Computed, not measured: SrAsAu after structural relaxation at the PBE-GGA level of DFT.

Cell lengths 6.047, 5.761, 3.934 Å; angles 74.52, 66.65, 38.83 degrees
Fractional coordinates of all 3 atoms:
Sr 0.334 0.334 0.666
Au 0.634 0.634 0.366
As 0.032 0.032 0.968

Summary:
The space group is Fmm2, No. 42. The calculation puts the density of states at the Fermi level at 1.89 states/eV/f.u.

***

22.
Computed, not measured: SrAsAu after structural relaxation at the PBE-GGA level of DFT.

Cell lengths 7.903, 4.502, 4.351 Å; angles 90.00, 90.02, 90.00 degrees
Fractional coordinates of all 6 atoms:
As 0.568 0.369 0.522
As 0.894 0.369 0.521
Sr 0.231 0.369 0.022
Sr 0.731 0.869 0.022
Au 0.404 0.869 0.522
Au 0.058 0.869 0.522

Summary:
The space group is Pmmm, No. 47. The calculation puts the density of states at the Fermi level at 0.59 states/eV/f.u.

***

23.
Computed, not measured: Sr2AsAu after structural relaxation at the PBE-GGA level of DFT.

Cell lengths 6.232, 6.232, 4.667 Å; angles 90.00, 89.99, 40.45 degrees
Fractional coordinates of all 4 atoms:
As 0.459 0.459 0.625
Au 0.291 0.291 0.125
Sr 0.011 0.011 0.125
Sr 0.739 0.739 0.625

Summary:
The space group is Amm2, No. 38. The calculation puts the density of states at the Fermi level at 0.71 states/eV/f.u.

***

24.
Computed, not measured: SrAs2Au after structural relaxation at the PBE-GGA level of DFT.

Cell lengths 5.852, 5.852, 4.975 Å; angles 87.43, 87.43, 42.46 degrees
Fractional coordinates of all 4 atoms:
As 0.788 0.788 0.747
As 0.052 0.052 0.769
Sr 0.231 0.231 0.251
Au 0.429 0.429 0.733

Summary:
The space group is Cm, No. 8. The calculation puts the density of states at the Fermi level at 1.22 states/eV/f.u.

***

25.
Computed, not measured: Sr2AsAu after structural relaxation at the PBE-GGA level of DFT.

Cell lengths 5.395, 3.863, 5.395 Å; angles 90.00, 90.00, 90.00 degrees
Fractional coordinates of all 4 atoms:
Sr 0.500 0.125 0.375
Sr 0.000 0.125 0.875
Au 0.500 0.626 0.875
As 0.000 0.625 0.375

Summary:
The space group is P4/mmm, No. 123. The calculation puts the density of states at the Fermi level at 0.64 states/eV/f.u.

***

26.
Computed, not measured: Sr2AsAu after structural relaxation at the PBE-GGA level of DFT.

Cell lengths 5.352, 5.352, 5.352 Å; angles 60.00, 60.00, 60.00 degrees
Fractional coordinates of all 4 atoms:
Au 0.750 0.750 0.750
As 0.500 0.500 0.500
Sr 0.000 0.000 0.000
Sr 0.250 0.250 0.250

Summary:
The space group is F-43m, No. 216. The calculation puts the density of states at the Fermi level at 2.33 states/eV/f.u.

***

27.
Computed, not measured: SrAs2Au after structural relaxation at the PBE-GGA level of DFT.

Cell lengths 5.880, 5.880, 5.880 Å; angles 47.04, 47.04, 47.04 degrees
Fractional coordinates of all 4 atoms:
Sr 0.750 0.750 0.750
Au 0.250 0.250 0.250
As 0.954 0.954 0.954
As 0.546 0.546 0.546

Summary:
The space group is R-3m, No. 166. The calculation puts the density of states at the Fermi level at 1.13 states/eV/f.u.

***

28.
Computed, not measured: SrAs2Au after structural relaxation at the PBE-GGA level of DFT.

Cell lengths 4.595, 4.595, 4.260 Å; angles 90.00, 90.00, 90.00 degrees
Fractional coordinates of all 4 atoms:
Au 0.500 0.000 0.500
As 0.000 0.000 0.000
As 0.500 0.500 0.000
Sr 0.000 0.500 0.500

Summary:
The space group is P4/mmm, No. 123. The calculation puts the density of states at the Fermi level at 2.03 states/eV/f.u.

***

| no. | M_tot (μB/f.u.) | formation enthalpy at 0 K (eV/atom) |
| --- | --- | --- |
| 1 | 0.00 | -0.595 |
| 2 | 0.00 | -0.822 |
| 3 | 0.00 | -0.925 |
| 4 | 0.00 | -0.289 |
| 5 | 0.00 | -0.483 |
| 6 | 0.00 | -0.934 |
| 7 | 0.00 | -0.332 |
| 8 | 0.00 | -0.310 |
| 9 | 0.00 | -0.407 |
| 10 | 0.00 | -0.846 |
| 11 | 0.00 | -0.855 |
| 12 | 0.00 | -0.779 |
| 13 | 0.00 | -0.322 |
| 14 | 0.00 | -0.620 |
| 15 | 0.00 | -0.217 |
| 16 | 0.00 | -0.465 |
| 17 | 0.00 | -0.930 |
| 18 | 0.00 | -0.439 |
| 19 | 0.00 | -0.473 |
| 20 | 0.00 | -0.525 |
| 21 | 0.00 | -0.418 |
| 22 | 0.00 | -0.819 |
| 23 | 0.00 | -0.941 |
| 24 | 0.00 | -0.467 |
| 25 | 0.00 | -0.901 |
| 26 | 0.00 | -0.366 |
| 27 | 0.00 | -0.419 |
| 28 | 0.00 | -0.334 |